The following is a DFT calculation (PBE-GGA) of MnCdAu2 after structural relaxation. Values from VASP.

Geometry as Quantum ESPRESSO input:
```
&SYSTEM
  ibrav = 0, nat = 4, ntyp = 3
/
ATOMIC_SPECIES
Mn 54.94 Mn.upf
Cd 112.41 Cd.upf
Au 196.97 Au.upf
ATOMIC_POSITIONS crystal
Mn 0.256 0.256 0.221
Cd 0.502 0.502 0.515
Au 0.993 0.993 0.029
Au 0.749 0.749 0.735
CELL_PARAMETERS angstrom
-1.491 -1.175 -4.732
1.731 -0.864 -4.717
0.459 -4.748 -0.152
```

Calculated values
Total magnetic moment, μB per formula unit: 4.12
Formation energy, eV per atom: -0.038
Calculated density, g/cm³: 12.87

The following is a DFT calculation (PBE-GGA) of MnCd3Au6 after structural relaxation. Values from VASP.

Geometry as Quantum ESPRESSO input:
```
&SYSTEM
  ibrav = 0, nat = 20, ntyp = 3
/
ATOMIC_SPECIES
Mn 54.94 Mn.upf
Cd 112.41 Cd.upf
Au 196.97 Au.upf
ATOMIC_POSITIONS crystal
Mn 0.250 0.960 0.580
Cd 0.750 0.449 0.620
Au 0.750 0.531 0.924
Cd 0.750 0.638 0.224
Cd 0.750 0.225 0.016
Au 0.750 0.327 0.326
Au 0.250 0.872 0.294
Au 0.250 0.166 0.170
Au 0.250 0.060 0.863
Mn 0.750 0.040 0.420
Au 0.750 0.940 0.137
Cd 0.250 0.551 0.380
Au 0.750 0.128 0.706
Cd 0.250 0.362 0.776
Au 0.750 0.834 0.830
Au 0.250 0.240 0.479
Au 0.250 0.673 0.674
Cd 0.250 0.775 0.984
Au 0.250 0.469 0.076
Au 0.750 0.760 0.521
CELL_PARAMETERS angstrom
4.789 0.005 -0.010
-0.013 7.455 -2.737
0.021 -0.082 10.457
```

Calculated values
Total magnetic moment, μB per formula unit: 4.33
Formation energy, eV per atom: -0.123
Calculated density, g/cm³: 14.04